Record 1
{
  "formula": "La6DySn",
  "functional": "PBE",
  "state": "relaxed",
  "cell": [[5.089, 0.000, 0.000], [0.000, 5.089, 0.000], [0.000, 0.000, 10.412]],
  "species": ["La", "La", "La", "La", "La", "La", "Dy", "Sn"],
  "frac_coords": [[0.000, 0.500, 0.242], [0.500, 0.500, 0.000], [0.000, 0.500, 0.758], [0.500, 0.000, 0.242], [0.500, 0.000, 0.758], [0.500, 0.500, 0.500], [0.000, 0.000, 0.500], [0.000, 0.000, 0.000]],
  "total_magnetization_mub_per_fu": 0.000,
  "dos_at_fermi_per_ev_cell": 9.329,
  "total_energy_ev_per_atom": -4.985,
  "vol_a3_per_atom": 33.7,
  "delta_e_f_ev_per_atom": -0.214
}

Record 2
{
  "formula": "LaDy2Sn2",
  "functional": "PBE",
  "state": "relaxed",
  "cell": [[-0.704, 4.108, 0.281], [-4.773, -1.018, 2.935], [8.114, 0.682, 10.345]],
  "species": ["Sn", "Sn", "Sn", "Sn", "Dy", "Dy", "Dy", "Dy", "La", "La"],
  "frac_coords": [[0.250, 0.787, 0.657], [0.750, 0.664, 0.045], [0.250, 0.336, 0.955], [0.750, 0.213, 0.343], [0.250, 0.255, 0.529], [0.750, 0.169, 0.109], [0.250, 0.831, 0.891], [0.750, 0.745, 0.471], [0.750, 0.302, 0.753], [0.250, 0.698, 0.247]],
  "total_magnetization_mub_per_fu": 0.245,
  "dos_at_fermi_per_ev_cell": 12.080,
  "total_energy_ev_per_atom": -4.896,
  "vol_a3_per_atom": 31.1,
  "delta_e_f_ev_per_atom": -0.468
}

Which formula does entry 1 have? La6DySn